10
Lattice="-4.517 -4.550 7.209 0.333 -8.246 -4.996 2.967 -0.728 1.399" Properties=species:S:1:pos:R:3 comment="Ba2TeRu2 | the Alexandria database | PBE | relaxed" e_above_lowest_polymorph_mev_per_atom=557 formation_energy_uncorrected_ev_per_atom=0.483 pbc="T T T"
Ba -3.058 -4.719 4.027
Ba -3.424 -9.379 2.379
Ba -0.760 -3.417 -0.167
Ba -1.126 -8.077 -1.814
Te 0.000 0.000 0.000
Te -2.092 -6.398 1.106
Ru 1.307 -5.537 -1.617
Ru -0.377 -2.942 3.302
Ru -0.840 -10.582 0.310
Ru -2.523 -7.986 5.229